VASP calculation (PBE) on a relaxed structure of BaNaLaIn.

CIF file:
```
data_BaNaLaIn
_chemical_formula_sum 'Ba1 Na1 La1 In1'
_cell_length_a 5.909
_cell_length_b 5.909
_cell_length_c 5.909
_cell_angle_alpha 60.00
_cell_angle_beta 60.00
_cell_angle_gamma 60.00
_symmetry_space_group_name_H-M 'P 1'
_symmetry_Int_Tables_number 1
loop_
_symmetry_equiv_pos_as_xyz
'x,y,z'
loop_
_atom_site_label
_atom_site_type_symbol
_atom_site_fract_x
_atom_site_fract_y
_atom_site_fract_z
Na1 Na 0.500 0.500 0.500
Ba1 Ba 0.750 0.750 0.750
In1 In 0.000 0.000 0.000
La1 La 0.250 0.250 0.250
```

Calculated values
calculated density = 4.71 g cm⁻³
total magnetization = 0.00 μB/cell
total energy = -2.855 eV/atom

=====

VASP calculation (PBE) on a relaxed structure of BaLa2NdIn4.

CIF file:
```
data_BaLa2NdIn4
_chemical_formula_sum 'Ba1 La2 Nd1 In4'
_cell_length_a 5.654
_cell_length_b 5.654
_cell_length_c 9.838
_cell_angle_alpha 73.30
_cell_angle_beta 73.30
_cell_angle_gamma 60.00
_symmetry_space_group_name_H-M 'P 1'
_symmetry_Int_Tables_number 1
loop_
_symmetry_equiv_pos_as_xyz
'x,y,z'
loop_
_atom_site_label
_atom_site_type_symbol
_atom_site_fract_x
_atom_site_fract_y
_atom_site_fract_z
In1 In 0.381 0.381 0.858
In2 In 0.619 0.619 0.142
In3 In 0.871 0.871 0.386
In4 In 0.129 0.129 0.614
Nd1 Nd 0.500 0.500 0.500
La1 La 0.252 0.252 0.245
La2 La 0.748 0.748 0.755
Ba1 Ba 0.000 0.000 0.000
```

Calculated values
calculated density = 6.58 g cm⁻³
total magnetization = 0.00 μB/cell
total energy = -3.867 eV/atom

=====

VASP calculation (PBE) on a relaxed structure of BaLaNdIn.

CIF file:
```
data_BaLaNdIn
_chemical_formula_sum 'Ba1 La1 Nd1 In1'
_cell_length_a 5.788
_cell_length_b 5.788
_cell_length_c 5.788
_cell_angle_alpha 60.00
_cell_angle_beta 60.00
_cell_angle_gamma 60.00
_symmetry_space_group_name_H-M 'P 1'
_symmetry_Int_Tables_number 1
loop_
_symmetry_equiv_pos_as_xyz
'x,y,z'
loop_
_atom_site_label
_atom_site_type_symbol
_atom_site_fract_x
_atom_site_fract_y
_atom_site_fract_z
Ba1 Ba 0.000 0.000 0.000
La1 La 0.750 0.750 0.750
Nd1 Nd 0.250 0.250 0.250
In1 In 0.500 0.500 0.500
```

Calculated values
calculated density = 6.48 g cm⁻³
total magnetization = 1.99 μB/cell
total energy = -3.619 eV/atom

=====

VASP calculation (PBE) on a relaxed structure of BaLaIn2Ni.

CIF file:
```
data_BaLaIn2Ni
_chemical_formula_sum 'Ba1 La1 In2 Ni1'
_cell_length_a 5.326
_cell_length_b 5.326
_cell_length_c 5.179
_cell_angle_alpha 90.00
_cell_angle_beta 90.00
_cell_angle_gamma 90.00
_symmetry_space_group_name_H-M 'P 1'
_symmetry_Int_Tables_number 1
loop_
_symmetry_equiv_pos_as_xyz
'x,y,z'
loop_
_atom_site_label
_atom_site_type_symbol
_atom_site_fract_x
_atom_site_fract_y
_atom_site_fract_z
In1 In 0.500 0.000 0.000
In2 In 0.000 0.500 0.000
Ba1 Ba 0.500 0.500 0.500
La1 La 0.000 0.000 0.500
Ni1 Ni 0.000 0.000 0.000
```

Calculated values
calculated density = 6.38 g cm⁻³
total magnetization = 0.00 μB/cell
total energy = -3.892 eV/atom

=====

VASP calculation (PBE) on a relaxed structure of BaLa2InNi.

CIF file:
```
data_BaLa2InNi
_chemical_formula_sum 'Ba1 La2 In1 Ni1'
_cell_length_a 5.558
_cell_length_b 5.558
_cell_length_c 5.248
_cell_angle_alpha 90.00
_cell_angle_beta 90.00
_cell_angle_gamma 90.00
_symmetry_space_group_name_H-M 'P 1'
_symmetry_Int_Tables_number 1
loop_
_symmetry_equiv_pos_as_xyz
'x,y,z'
loop_
_atom_site_label
_atom_site_type_symbol
_atom_site_fract_x
_atom_site_fract_y
_atom_site_fract_z
Ni1 Ni 0.000 0.000 0.000
La1 La 0.500 0.000 0.000
La2 La 0.000 0.500 0.000
In1 In 0.000 0.000 0.500
Ba1 Ba 0.500 0.500 0.500
```

Calculated values
calculated density = 6.03 g cm⁻³
total magnetization = 0.00 μB/cell
total energy = -4.226 eV/atom

=====

VASP calculation (PBE) on a relaxed structure of Ba2LaIn3O8.

CIF file:
```
data_Ba2LaIn3O8
_chemical_formula_sum 'Ba2 La1 In3 O8'
_cell_length_a 6.880
_cell_length_b 6.880
_cell_length_c 7.280
_cell_angle_alpha 61.80
_cell_angle_beta 61.80
_cell_angle_gamma 60.00
_symmetry_space_group_name_H-M 'P 1'
_symmetry_Int_Tables_number 1
loop_
_symmetry_equiv_pos_as_xyz
'x,y,z'
loop_
_atom_site_label
_atom_site_type_symbol
_atom_site_fract_x
_atom_site_fract_y
_atom_site_fract_z
O1 O 0.241 0.696 0.822
O2 O 0.696 0.241 0.822
O3 O 0.734 0.734 0.797
O4 O 0.289 0.755 0.201
O5 O 0.267 0.267 0.198
O6 O 0.241 0.241 0.822
O7 O 0.755 0.755 0.201
O8 O 0.755 0.289 0.201
In1 In 0.003 0.499 0.000
In2 In 0.499 0.499 0.000
In3 In 0.499 0.003 0.000
La1 La 0.894 0.894 0.318
Ba1 Ba 0.496 0.496 0.512
Ba2 Ba 0.124 0.124 0.628
```

Calculated values
calculated density = 5.88 g cm⁻³
total magnetization = 0.00 μB/cell
total energy = -6.135 eV/atom

=====

VASP calculation (PBE) on a relaxed structure of BaLa2InO.

CIF file:
```
data_BaLa2InO
_chemical_formula_sum 'Ba1 La2 In1 O1'
_cell_length_a 5.105
_cell_length_b 5.105
_cell_length_c 5.416
_cell_angle_alpha 90.00
_cell_angle_beta 90.00
_cell_angle_gamma 90.00
_symmetry_space_group_name_H-M 'P 1'
_symmetry_Int_Tables_number 1
loop_
_symmetry_equiv_pos_as_xyz
'x,y,z'
loop_
_atom_site_label
_atom_site_type_symbol
_atom_site_fract_x
_atom_site_fract_y
_atom_site_fract_z
In1 In 0.500 0.500 0.500
O1 O 0.000 0.000 0.000
La1 La 0.500 0.000 0.000
La2 La 0.000 0.500 0.000
Ba1 Ba 0.000 0.000 0.500
```

Calculated values
calculated density = 6.42 g cm⁻³
total magnetization = 0.00 μB/cell
total energy = -5.181 eV/atom

=====

VASP calculation (PBE) on a relaxed structure of Ba3LaIn2O6.

CIF file:
```
data_Ba3LaIn2O6
_chemical_formula_sum 'Ba3 La1 In2 O6'
_cell_length_a 6.355
_cell_length_b 6.355
_cell_length_c 7.233
_cell_angle_alpha 90.00
_cell_angle_beta 90.00
_cell_angle_gamma 120.00
_symmetry_space_group_name_H-M 'P 1'
_symmetry_Int_Tables_number 1
loop_
_symmetry_equiv_pos_as_xyz
'x,y,z'
loop_
_atom_site_label
_atom_site_type_symbol
_atom_site_fract_x
_atom_site_fract_y
_atom_site_fract_z
In1 In 0.333 0.667 0.141
In2 In 0.667 0.333 0.859
O1 O 0.343 0.172 0.695
O2 O 0.828 0.172 0.695
O3 O 0.172 0.828 0.305
O4 O 0.172 0.343 0.305
O5 O 0.828 0.657 0.695
O6 O 0.657 0.828 0.305
Ba1 Ba 0.667 0.333 0.381
Ba2 Ba 0.000 0.000 0.000
Ba3 Ba 0.333 0.667 0.619
La1 La 0.000 0.000 0.500
```

Calculated values
calculated density = 5.75 g cm⁻³
total magnetization = 0.00 μB/cell
total energy = -6.058 eV/atom